{"formula": "Dy4In2Hg", "functional": "PBE-GGA", "state": "optimized geometry", "energy_ev_per_atom": -3.7720, "e_above_lowest_polymorph_mev_per_atom": 0.0, "ef_ev_per_atom": -0.3167, "lattice_angstrom": [[5.0088, 0.0000, 1.5649], [2.2600, 4.4700, 1.5649], [-0.0766, -0.0471, 9.0437]], "species": ["Dy", "Dy", "In", "Dy", "Dy", "Hg", "In"], "frac_coords": [[0.8729, 0.8729, 0.3814], [0.6213, 0.6213, 0.1361], [0.7506, 0.7506, 0.7482], [0.3787, 0.3787, 0.8639], [0.1271, 0.1271, 0.6186], [0.0000, 0.0000, 0.0000], [0.2494, 0.2494, 0.2518]]}